--- A ---
Here is LaY2Ta after structural relaxation from Alexandria. Energies are from PBE-GGA.

CIF file:
```
data_LaY2Ta
_chemical_formula_sum 'La2 Y4 Ta2'
_cell_length_a 11.613
_cell_length_b 3.358
_cell_length_c 5.970
_cell_angle_alpha 90.00
_cell_angle_beta 103.89
_cell_angle_gamma 90.00
_symmetry_space_group_name_H-M 'C 1 m 1'
_symmetry_Int_Tables_number 8
loop_
_symmetry_equiv_pos_as_xyz
'x,y,z'
'x,-y,z'
'x+1/2,y+1/2,z'
'x+1/2,-y+1/2,z'
loop_
_atom_site_label
_atom_site_type_symbol
_atom_site_fract_x
_atom_site_fract_y
_atom_site_fract_z
_atom_site_occupancy
La1 La 0.000 0.000 0.000 1
Y1 Y 0.224 0.000 0.770 1
Y2 Y 0.449 0.000 0.466 1
Ta1 Ta 0.210 0.500 0.300 1
```

--- B ---
Here is LaY2Ta after structural relaxation from Alexandria. Energies are from PBE-GGA.

CIF file:
```
data_LaY2Ta
_chemical_formula_sum 'La4 Y8 Ta4'
_cell_length_a 7.635
_cell_length_b 7.635
_cell_length_c 7.635
_cell_angle_alpha 90.00
_cell_angle_beta 90.00
_cell_angle_gamma 90.00
_symmetry_space_group_name_H-M 'F m -3 m'
_symmetry_Int_Tables_number 225
_symmetry_space_group_name_Hall '-F 4 2 3'
loop_
_atom_site_label
_atom_site_type_symbol
_atom_site_fract_x
_atom_site_fract_y
_atom_site_fract_z
_atom_site_occupancy
La1 La 0.000 0.000 0.000 1
Y1 Y 0.250 0.250 0.250 1
Ta1 Ta 0.000 0.000 0.500 1
```

Last place for stability: B

--- A ---
Here is LaY2Ta after structural relaxation from Alexandria. Energies are from PBE-GGA.

CIF file:
```
data_LaY2Ta
_chemical_formula_sum 'La1 Y2 Ta1'
_cell_length_a 3.946
_cell_length_b 3.946
_cell_length_c 7.407
_cell_angle_alpha 90.00
_cell_angle_beta 90.00
_cell_angle_gamma 90.00
_symmetry_space_group_name_H-M 'P 4 m m'
_symmetry_Int_Tables_number 99
loop_
_symmetry_equiv_pos_as_xyz
'x,y,z'
'-y,x,z'
'-x,-y,z'
'y,-x,z'
'-x,y,z'
'y,x,z'
'x,-y,z'
'-y,-x,z'
loop_
_atom_site_label
_atom_site_type_symbol
_atom_site_fract_x
_atom_site_fract_y
_atom_site_fract_z
_atom_site_occupancy
La1 La 0.000 0.000 0.000 1
Y1 Y 0.000 0.000 0.429 1
Y2 Y 0.500 0.500 0.687 1
Ta1 Ta 0.500 0.500 0.240 1
```

--- B ---
Here is LaY2Ta after structural relaxation from Alexandria. Energies are from PBE-GGA.

CIF file:
```
data_LaY2Ta
_chemical_formula_sum 'La3 Y6 Ta3'
_cell_length_a 3.3822
_cell_length_b 3.3822
_cell_length_c 34.3324
_cell_angle_alpha 90.00
_cell_angle_beta 90.00
_cell_angle_gamma 120.00
_symmetry_space_group_name_H-M 'R -3 m'
_symmetry_Int_Tables_number 166
_symmetry_space_group_name_Hall '-R 3 2"'
loop_
_atom_site_label
_atom_site_type_symbol
_atom_site_fract_x
_atom_site_fract_y
_atom_site_fract_z
_atom_site_occupancy
La1 La 0.0000 0.0000 0.0000 1
Y1 Y 0.0000 0.0000 0.2391 1
Ta1 Ta 0.0000 0.0000 0.5000 1
```

Last place for stability: A